The following is a DFT calculation (PBE) of CsMnInCl4 after structural relaxation.

Unit cell a=6.7789 b=7.4630 c=10.2328 alpha=90.00 beta=112.99 gamma=90.00
Site moments in Bohr magnetons follow the coordinates.
Element x y z (fractional)
Cs1 0.6551 0.7500 0.9097  0.00
Cs2 0.3449 0.2500 0.0903  0.00
Mn1 0.2062 0.7500 0.2933  4.32
Mn2 0.7938 0.2500 0.7067  4.32
In1 0.8315 0.7500 0.5076  0.00
In2 0.1685 0.2500 0.4924  0.00
Cl1 0.0100 0.5073 0.7716  0.05
Cl2 0.9900 0.0073 0.2284  0.05
Cl3 0.9900 0.4927 0.2284  0.05
Cl4 0.0100 0.9927 0.7716  0.05
Cl5 0.4395 0.7500 0.1749  0.06
Cl6 0.5605 0.2500 0.8251  0.06
Cl7 0.4076 0.7500 0.5415  0.05
Cl8 0.5924 0.2500 0.4585  0.05

Its formation energy without anion corrections is -1.303 eV/atom. The calculation puts the density of states at the Fermi level at 0.000 states/eV per cell. The calculated total energy comes out at -58.53 eV per cell.